# Th2Zr3Co2

Crystalline Th2Zr3Co2 at its relaxed geometry (PBE, Alexandria via LeMat-Bulk).

## Properties
ρ (g/cm3): 9.21
SG: C2/m, No. 12
Total energy (eV per cell): -56.11
Crystal system: monoclinic

```
Th2Zr3Co2
1.0
5.6898 -1.7506 0.0000
5.6898 1.7506 0.0000
-3.2947 0.0000 7.7455
Th Zr Co
2 3 2
direct
0.1648 0.1648 0.3056
0.8352 0.8352 0.6944
0.3809 0.3809 0.0674
0.5000 0.5000 0.5000
0.6191 0.6191 0.9326
0.1554 0.1554 0.7314
0.8446 0.8446 0.2686
```

---

# ThZr2Co

Crystalline ThZr2Co at its relaxed geometry (PBE, Alexandria via LeMat-Bulk).

## Properties
ρ (g/cm3): 9.07
SG: P4/mmm, No. 123
Total energy (eV per cell): -31.87
Crystal system: tetragonal
ΔE to the lowest computed polymorph (meV/atom): 100.3

```
ThZr2Co
1.0
3.2998 0.0000 0.0000
0.0000 3.2998 0.0000
0.0000 0.0000 7.9584
Th Zr Co
1 2 1
direct
0.0000 0.0000 0.0000
0.5000 0.5000 0.3102
0.5000 0.5000 0.6898
0.0000 0.0000 0.5000
```

---

# Th3ZrCo

Crystalline Th3ZrCo at its relaxed geometry (PBE, Alexandria via LeMat-Bulk).

## Properties
ρ (g/cm3): 10.75
SG: P-1, No. 2
Total energy (eV per cell): -76.91
Crystal system: triclinic

```
Th3ZrCo
1.0
3.5601 0.0000 0.0000
0.0068 6.8299 0.0000
1.7734 0.0483 10.7528
Th Zr Co
6 2 2
direct
0.0018 0.2345 0.4979
0.2334 0.2406 0.0318
0.3896 0.5008 0.7208
0.6104 0.4992 0.2792
0.7666 0.7594 0.9682
0.9982 0.7655 0.5021
0.3839 0.0063 0.7348
0.6161 0.9937 0.2652
0.1695 0.7509 0.1599
0.8305 0.2491 0.8401
```

---

# ThZrCo4

Crystalline ThZrCo4 at its relaxed geometry (PBE, Alexandria via LeMat-Bulk).

## Properties
ρ (g/cm3): 10.48
SG: F-43m, No. 216
Total energy (eV per cell): -45.64
Crystal system: cubic

```
ThZrCo4
1.0
0.0000 3.5385 3.5385
3.5385 0.0000 3.5385
3.5385 3.5385 0.0000
Th Zr Co
1 1 4
direct
0.0000 0.0000 0.0000
0.7500 0.7500 0.7500
0.3758 0.3758 0.3758
0.3758 0.3758 0.8725
0.3758 0.8725 0.3758
0.8725 0.3758 0.3758
```

---

# Th6ZrCo3

Crystalline Th6ZrCo3 at its relaxed geometry (PBE, Alexandria via LeMat-Bulk).

## Properties
ρ (g/cm3): 10.86
SG: Cmc2_1, No. 36
Total energy (eV per cell): -150.51
Crystal system: orthorhombic

```
Th6ZrCo3
1.0
5.6518 -6.5603 0.0000
5.6518 6.5603 0.0000
0.0000 0.0000 6.8470
Th Zr Co
12 2 6
direct
0.0172 0.9828 0.5000
0.0397 0.4247 0.1704
0.2747 0.3783 0.7597
0.3212 0.6788 0.4200
0.3783 0.2747 0.2597
0.4247 0.0397 0.6704
0.5753 0.9603 0.1704
0.6217 0.7253 0.7597
0.6788 0.3212 0.9200
0.7253 0.6217 0.2597
0.9603 0.5753 0.6704
0.9828 0.0172 0.0000
0.2538 0.7462 0.9495
0.7462 0.2538 0.4495
0.0393 0.7284 0.2517
0.2716 0.9607 0.2517
0.4412 0.5588 0.0719
0.5588 0.4412 0.5719
0.7284 0.0393 0.7517
0.9607 0.2716 0.7517
```

---

# ThZrCo2

Crystalline ThZrCo2 at its relaxed geometry (PBE, Alexandria via LeMat-Bulk).

## Properties
ρ (g/cm3): 9.91
SG: R-3m, No. 166
Total energy (eV per cell): -30.67
Crystal system: trigonal
ΔE to the lowest computed polymorph (meV/atom): 185.2

```
ThZrCo2
1.0
2.2266 1.2855 4.3038
-2.2266 1.2855 4.3038
0.0000 -2.5710 4.3038
Th Zr Co
1 1 2
direct
0.0000 0.0000 0.0000
0.5000 0.5000 0.5000
0.2754 0.2754 0.2754
0.7246 0.7246 0.7246
```

---

# Th2ZrCo9

Crystalline Th2ZrCo9 at its relaxed geometry (PBE, Alexandria via LeMat-Bulk).

## Properties
ρ (g/cm3): 10.37
SG: R-3m, No. 166
Total energy (eV per cell): -89.37
Crystal system: trigonal

```
Th2ZrCo9
1.0
2.4418 1.4098 8.4165
-2.4418 1.4098 8.4165
0.0000 -2.8196 8.4165
Th Zr Co
2 1 9
direct
0.1359 0.1359 0.1359
0.8641 0.8641 0.8641
0.0000 0.0000 0.0000
0.0798 0.5763 0.5763
0.3328 0.3328 0.3328
0.4237 0.4237 0.9202
0.4237 0.9202 0.4237
0.5000 0.5000 0.5000
0.5763 0.0798 0.5763
0.5763 0.5763 0.0798
0.6672 0.6672 0.6672
0.9202 0.4237 0.4237
```

---

# ThZrCo10

Crystalline ThZrCo10 at its relaxed geometry (PBE, Alexandria via LeMat-Bulk).

## Properties
ρ (g/cm3): 9.30
SG: Pmmm, No. 47
Total energy (eV per cell): -88.59
Crystal system: orthorhombic

```
ThZrCo10
1.0
3.9865 0.0000 0.0000
0.0000 4.8460 0.0000
0.0000 0.0000 8.4346
Th Zr Co
1 1 10
direct
0.0000 0.0000 0.0000
0.0000 0.5000 0.5000
0.0000 0.0000 0.3415
0.0000 0.0000 0.6585
0.0000 0.5000 0.1757
0.0000 0.5000 0.8243
0.5000 0.0000 0.5000
0.5000 0.2583 0.2608
0.5000 0.2583 0.7392
0.5000 0.5000 0.0000
0.5000 0.7417 0.2608
0.5000 0.7417 0.7392
```

---

# ThZr2Co

Crystalline ThZr2Co at its relaxed geometry (PBE, Alexandria via LeMat-Bulk).

## Properties
ρ (g/cm3): 8.84
SG: Pnma, No. 62
Total energy (eV per cell): -129.07
Crystal system: orthorhombic
ΔE to the lowest computed polymorph (meV/atom): 0.0

```
ThZr2Co
1.0
6.5790 0.0000 0.0000
0.0000 9.1157 0.0000
0.0000 0.0000 5.9344
Th Zr Co
4 8 4
direct
0.0471 0.2500 0.1471
0.4529 0.7500 0.6471
0.5471 0.2500 0.3529
0.9529 0.7500 0.8529
0.1823 0.0643 0.6519
0.1823 0.4357 0.6519
0.3177 0.5643 0.1519
0.3177 0.9357 0.1519
0.6823 0.0643 0.8481
0.6823 0.4357 0.8481
0.8177 0.5643 0.3481
0.8177 0.9357 0.3481
0.1149 0.7500 0.4158
0.3851 0.2500 0.9158
0.6149 0.7500 0.0842
0.8851 0.2500 0.5842
```

---

# ThZr4Co2

Crystalline ThZr4Co2 at its relaxed geometry (PBE, Alexandria via LeMat-Bulk).

## Properties
ρ (g/cm3): 8.13
SG: P2_1/m, No. 11
Total energy (eV per cell): -113.17
Crystal system: monoclinic

```
ThZr4Co2
1.0
6.8131 0.0000 0.0000
0.0000 6.0395 0.0000
-2.5641 0.0000 7.0969
Th Zr Co
2 8 4
direct
0.1380 0.2500 0.0221
0.8620 0.7500 0.9779
0.0349 0.2500 0.4132
0.2506 0.7500 0.3578
0.3960 0.0036 0.7628
0.3960 0.4964 0.7628
0.6040 0.5036 0.2372
0.6040 0.9964 0.2372
0.7494 0.2500 0.6422
0.9651 0.7500 0.5868
0.2897 0.7500 0.0012
0.3922 0.2500 0.4047
0.6078 0.7500 0.5953
0.7103 0.2500 0.9988
```

---

# ThZrCo2

Crystalline ThZrCo2 at its relaxed geometry (PBE, Alexandria via LeMat-Bulk).

## Properties
ρ (g/cm3): 9.96
SG: Pm, No. 6
Total energy (eV per cell): -31.41
Crystal system: monoclinic
ΔE to the lowest computed polymorph (meV/atom): 0.0

```
ThZrCo2
1.0
3.5656 0.0000 0.0000
0.0000 4.1066 0.0000
-1.7750 0.0000 5.0235
Th Zr Co
1 1 2
direct
0.0000 0.0000 0.0000
0.2775 0.5000 0.5553
0.5609 0.5000 0.1209
0.7309 0.0000 0.4622
```

---

# ThZrCo2

Crystalline ThZrCo2 at its relaxed geometry (PBE, Alexandria via LeMat-Bulk).

## Properties
ρ (g/cm3): 10.05
SG: P4/mmm, No. 123
Total energy (eV per cell): -30.83
Crystal system: tetragonal
ΔE to the lowest computed polymorph (meV/atom): 144.7

```
ThZrCo2
1.0
3.2502 0.0000 0.0000
0.0000 3.2502 0.0000
0.0000 0.0000 6.8988
Th Zr Co
1 1 2
direct
0.0000 0.0000 0.0000
0.0000 0.0000 0.5000
0.5000 0.5000 0.2898
0.5000 0.5000 0.7102
```

---

What is the ρ in the eleventh record? 9.96 g/cm3

---

Which of these has the lowest total energy? Th6ZrCo3

---

Please write out number 5 again, unchanged.
# Th6ZrCo3

Crystalline Th6ZrCo3 at its relaxed geometry (PBE, Alexandria via LeMat-Bulk).

## Properties
ρ (g/cm3): 10.86
SG: Cmc2_1, No. 36
Total energy (eV per cell): -150.51
Crystal system: orthorhombic

```
Th6ZrCo3
1.0
5.6518 -6.5603 0.0000
5.6518 6.5603 0.0000
0.0000 0.0000 6.8470
Th Zr Co
12 2 6
direct
0.0172 0.9828 0.5000
0.0397 0.4247 0.1704
0.2747 0.3783 0.7597
0.3212 0.6788 0.4200
0.3783 0.2747 0.2597
0.4247 0.0397 0.6704
0.5753 0.9603 0.1704
0.6217 0.7253 0.7597
0.6788 0.3212 0.9200
0.7253 0.6217 0.2597
0.9603 0.5753 0.6704
0.9828 0.0172 0.0000
0.2538 0.7462 0.9495
0.7462 0.2538 0.4495
0.0393 0.7284 0.2517
0.2716 0.9607 0.2517
0.4412 0.5588 0.0719
0.5588 0.4412 0.5719
0.7284 0.0393 0.7517
0.9607 0.2716 0.7517
```